1:
# VPOsS2, optimized geometry, DFT PBE
data_VPOsS2
_cell_length_a 4.401
_cell_length_b 4.401
_cell_length_c 4.600
_cell_angle_alpha 90.00
_cell_angle_beta 90.00
_cell_angle_gamma 90.00
_space_group_name_H-M_alt 'P 4/m m m'
_space_group_IT_number 123
_space_group_name_Hall '-P 4 2'
loop_
_atom_site_label
_atom_site_type_symbol
_atom_site_fract_x
_atom_site_fract_y
_atom_site_fract_z
V1 V 0.000 0.000 0.000
P1 P 0.000 0.000 0.500
Os1 Os 0.500 0.500 0.500
S1 S 0.000 0.500 0.000
# Total magnetic moment ... 0.51 μB/atom
# Calculated density ... 6.3 g cm⁻³
# Crystal system ... tetragonal


2:
# VPOsS2, optimized geometry, DFT PBE
data_VPOsS2
_cell_length_a 4.709
_cell_length_b 4.709
_cell_length_c 4.409
_cell_angle_alpha 90.00
_cell_angle_beta 90.00
_cell_angle_gamma 90.00
_space_group_name_H-M_alt 'P 4/m m m'
_space_group_IT_number 123
_space_group_name_Hall '-P 4 2'
loop_
_atom_site_label
_atom_site_type_symbol
_atom_site_fract_x
_atom_site_fract_y
_atom_site_fract_z
V1 V 0.000 0.000 0.000
P1 P 0.500 0.500 0.000
Os1 Os 0.500 0.500 0.500
S1 S 0.000 0.500 0.500
# Total magnetic moment ... 0.11 μB/atom
# Calculated density ... 5.7 g cm⁻³
# Crystal system ... tetragonal


Preferred: 2; penalty for the next structure: 0.6 kJ/mol of atoms.


1:
# YPOsS2, optimized geometry, DFT PBE
data_YPOsS2
_cell_length_a 4.880
_cell_length_b 4.880
_cell_length_c 4.349
_cell_angle_alpha 90.00
_cell_angle_beta 90.00
_cell_angle_gamma 90.00
_space_group_name_H-M_alt 'P 4/m m m'
_space_group_IT_number 123
_space_group_name_Hall '-P 4 2'
loop_
_atom_site_label
_atom_site_type_symbol
_atom_site_fract_x
_atom_site_fract_y
_atom_site_fract_z
Y1 Y 0.000 0.000 0.000
P1 P 0.500 0.500 0.000
Os1 Os 0.500 0.500 0.500
S1 S 0.000 0.500 0.500
# Total magnetic moment ... 0.00 μB/atom
# Calculated density ... 6.0 g cm⁻³
# Crystal system ... tetragonal


2:
# YPOsS2, optimized geometry, DFT PBE
data_YPOsS2
_cell_length_a 5.078
_cell_length_b 5.078
_cell_length_c 5.422
_cell_angle_alpha 90.00
_cell_angle_beta 90.00
_cell_angle_gamma 90.00
_space_group_name_H-M_alt 'P 4/m m m'
_space_group_IT_number 123
_space_group_name_Hall '-P 4 2'
loop_
_atom_site_label
_atom_site_type_symbol
_atom_site_fract_x
_atom_site_fract_y
_atom_site_fract_z
Y1 Y 0.000 0.000 0.000
P1 P 0.000 0.000 0.500
Os1 Os 0.500 0.500 0.500
S1 S 0.000 0.500 0.000
# Total magnetic moment ... 0.72 μB/atom
# Calculated density ... 4.4 g cm⁻³
# Crystal system ... tetragonal


Preferred: 1; penalty for the next structure: 134.2 kJ/mol of atoms.